[1]
The following is a meta-GGA SCAN calculation of HgP3 at its PBEsol-relaxed geometry, from Alexandria via LeMat-Bulk.

a b c (Å): 5.1517 5.1517 5.1517
angles (deg): 90.00 90.00 90.00
Sites, in units of the cell vectors:
Hg 0.0000 0.0000 0.0000
Hg 0.5000 0.5000 0.5000
P 0.0000 0.2500 0.5000
P 0.0000 0.7500 0.5000
P 0.2500 0.5000 0.0000
P 0.5000 0.0000 0.2500
P 0.5000 0.0000 0.7500
P 0.7500 0.5000 0.0000

Computed properties:
- total moment (μB/f.u.) = 0.0
- space group = No. 223
- polymorph energy (0 for the lowest one) (eV per atom) = 0.183

[2]
The following is a meta-GGA SCAN calculation of HgP14Pb at its PBEsol-relaxed geometry, from Alexandria via LeMat-Bulk.

a b c (Å): 12.6912 9.8407 10.4935
angles (deg): 90.00 90.00 90.00
Sites, in units of the cell vectors:
Hg 0.1862 0.2500 0.0118
Hg 0.3138 0.7500 0.5118
Hg 0.6862 0.2500 0.4882
Hg 0.8138 0.7500 0.9882
P 0.0347 0.2500 0.8374
P 0.0350 0.5759 0.8477
P 0.0350 0.9241 0.8477
P 0.0654 0.5805 0.4269
P 0.0648 0.7500 0.7187
P 0.0654 0.9195 0.4269
P 0.0760 0.0835 0.7063
P 0.0756 0.2500 0.4092
P 0.0760 0.4165 0.7063
P 0.1359 0.0442 0.1427
P 0.1359 0.4558 0.1427
P 0.1639 0.7500 0.3572
P 0.1727 0.0763 0.3442
P 0.1727 0.4237 0.3442
P 0.3273 0.5763 0.8442
P 0.3273 0.9237 0.8442
P 0.3361 0.2500 0.8572
P 0.3641 0.5442 0.6427
P 0.3641 0.9558 0.6427
P 0.4240 0.5835 0.2063
P 0.4244 0.7500 0.9092
P 0.4240 0.9165 0.2063
P 0.4346 0.0805 0.9269
P 0.4352 0.2500 0.2187
P 0.4346 0.4195 0.9269
P 0.4650 0.0759 0.3477
P 0.4650 0.4241 0.3477
P 0.4653 0.7500 0.3374
P 0.5347 0.2500 0.6626
P 0.5350 0.5759 0.6523
P 0.5350 0.9241 0.6523
P 0.5654 0.5805 0.0731
P 0.5648 0.7500 0.7813
P 0.5654 0.9195 0.0731
P 0.5760 0.0835 0.7937
P 0.5756 0.2500 0.0908
P 0.5760 0.4165 0.7937
P 0.6359 0.0442 0.3573
P 0.6359 0.4558 0.3573
P 0.6639 0.7500 0.1428
P 0.6727 0.0763 0.1558
P 0.6727 0.4237 0.1558
P 0.8273 0.5763 0.6558
P 0.8273 0.9237 0.6558
P 0.8361 0.2500 0.6428
P 0.8641 0.5442 0.8573
P 0.8641 0.9558 0.8573
P 0.9240 0.5835 0.2937
P 0.9244 0.7500 0.5908
P 0.9240 0.9165 0.2937
P 0.9346 0.0805 0.5731
P 0.9352 0.2500 0.2813
P 0.9346 0.4195 0.5731
P 0.9650 0.0759 0.1523
P 0.9650 0.4241 0.1523
P 0.9653 0.7500 0.1626
Pb 0.1772 0.7500 0.0920
Pb 0.3228 0.2500 0.5920
Pb 0.6772 0.7500 0.4080
Pb 0.8228 0.2500 0.9080

Computed properties:
- total moment (μB/f.u.) = 0.0
- space group = No. 62

[3]
The following is a meta-GGA SCAN calculation of Hg2PPb at its PBEsol-relaxed geometry, from Alexandria via LeMat-Bulk.

a b c (Å): 5.0556 5.0556 5.0556
angles (deg): 119.60 119.60 90.69
Sites, in units of the cell vectors:
Hg 0.0000 0.0000 0.0000
Hg 0.7500 0.2500 0.5000
P 0.5000 0.5000 0.0000
Pb 0.2500 0.7500 0.5000

Computed properties:
- total moment (μB/f.u.) = 0.0
- space group = No. 119

[4]
The following is a meta-GGA SCAN calculation of HgPPb at its PBEsol-relaxed geometry, from Alexandria via LeMat-Bulk.

a b c (Å): 4.0574 4.0574 5.0320
angles (deg): 90.00 90.00 120.00
Sites, in units of the cell vectors:
Hg 0.0000 0.0000 0.0000
P 0.3333 0.6667 0.7315
Pb 0.6667 0.3333 0.4216

Computed properties:
- total moment (μB/f.u.) = 0.0
- space group = No. 156
- polymorph energy (0 for the lowest one) (eV per atom) = 0.000

| no. | ΔE_f (eV/atom) |
| --- | --- |
| 1 | 1.155 |
| 2 | -0.027 |
| 3 | 0.317 |
| 4 | 0.148 |